i) Below is an optimized crystal structure of NaDyTl2, with properties calculated at the PBE-GGA level.

Computed properties:
- density (Mg/m³) = 9.2
- calculated volume (A^3/atom) = 26.946

Cell: 5.291 5.291 3.850 Å, 90.00 90.00 90.00°
Space group P4/mmm (No. 123)
Asymmetric unit:
Na 0.000 0.000 0.000 x1
Dy 0.500 0.500 0.000 x1
Tl 0.000 0.500 0.500 x2



ii) Below is an optimized crystal structure of NaDyTl2, with properties calculated at the PBE-GGA level.

Computed properties:
- density (Mg/m³) = 8.4
- calculated volume (A^3/atom) = 29.377

Cell: 3.6184 3.6184 31.0900 Å, 90.00 90.00 120.00°
Space group R-3m (No. 166, hexagonal axes)
Asymmetric unit:
Na 0.0000 0.0000 0.0000 x3
Dy 0.0000 0.0000 0.5000 x3
Tl 0.0000 0.0000 0.2493 x6



i) wins, 151 meV/atom ahead of the next structure.



i) Below is an optimized crystal structure of NaDyTl, with properties calculated at the PBE-GGA level.

Computed properties:
- density (Mg/m³) = 7.8
- calculated volume (A^3/atom) = 27.527

Cell: 5.2980 5.2980 3.3972 Å, 90.00 90.00 120.00°
Space group P3m1 (No. 156)
Asymmetric unit:
Na 0.0000 0.0000 0.0000 x1
Dy 0.3333 0.6667 0.4970 x1
Tl 0.6667 0.3333 0.9939 x1



ii) Below is an optimized crystal structure of NaDyTl, with properties calculated at the PBE-GGA level.

Computed properties:
- density (Mg/m³) = 7.1
- calculated volume (A^3/atom) = 30.519

Cell: 5.3598 5.3598 22.0805 Å, 90.00 90.00 120.00°
Space group R-3m (No. 166, hexagonal axes)
Asymmetric unit:
Na 0.0000 0.0000 0.1249 x6
Dy 0.0000 0.0000 0.2920 x6
Tl 0.0000 0.0000 0.4287 x6



iii) Below is an optimized crystal structure of NaDyTl, with properties calculated at the PBE-GGA level.

Computed properties:
- density (Mg/m³) = 7.2
- calculated volume (A^3/atom) = 30.077

Cell: 3.771 3.771 12.693 Å, 90.00 90.00 90.00°
Space group I4mm (No. 107)
Asymmetric unit:
Na 0.000 0.000 0.000 x2
Dy 0.000 0.000 0.705 x2
Tl 0.000 0.000 0.347 x2



i) wins, 51 meV/atom ahead of the next structure.